1.
TcAuBr2 (PBE, relaxed); density of states at the Fermi level = 0.78 states/eV per cell; energy relative to the elements, uncorrected = 1.828 eV/f.u.; volume = 25.42 A^3/atom; offset from the most stable computed form = 264 meV per atom; spin magnetization = 3.96 μB per formula unit
1.0
3.585 0.000 0.000
0.000 3.585 0.000
0.000 0.000 7.909
Au Tc Br
1 1 2
Direct
0.500 0.500 0.716
0.000 0.000 0.555
0.000 0.000 0.903
0.500 0.500 0.325


2.
TcAuBr4 (PBE, relaxed); density of states at the Fermi level = 6.51 states/eV per cell; energy relative to the elements, uncorrected = 7.502 eV/f.u.; volume = 27.10 A^3/atom; spin magnetization = 3.53 μB per formula unit
1.0
0.000 4.332 4.332
4.332 0.000 4.332
4.332 4.332 0.000
Tc Au Br
1 1 4
Direct
0.750 0.750 0.750
0.000 0.000 0.000
0.876 0.375 0.375
0.375 0.375 0.876
0.375 0.876 0.375
0.375 0.375 0.375


3.
TcTeAuBr2 (PBE, relaxed); density of states at the Fermi level = 3.40 states/eV per cell; energy relative to the elements, uncorrected = 4.701 eV/f.u.; volume = 30.19 A^3/atom; spin magnetization = 3.50 μB per formula unit
1.0
5.072 0.000 0.000
0.000 5.868 0.000
0.000 0.000 5.072
Te Au Tc Br
1 1 1 2
Direct
0.500 0.500 0.500
0.000 0.000 0.000
0.000 0.500 0.000
0.000 0.000 0.500
0.500 0.000 0.000


4.
Tl2TcAuBr (PBE, relaxed); density of states at the Fermi level = 2.65 states/eV per cell; energy relative to the elements, uncorrected = 2.390 eV/f.u.; volume = 28.55 A^3/atom; spin magnetization = 0.00 μB per formula unit
1.0
5.516 0.000 0.000
0.000 4.691 0.000
0.000 0.000 5.516
Tl Au Tc Br
2 1 1 1
Direct
0.000 0.000 0.500
0.500 0.000 0.000
0.500 0.500 0.500
0.000 0.000 0.000
0.000 0.500 0.000


5.
Y2TcAuBr (PBE, relaxed); density of states at the Fermi level = 4.66 states/eV per cell; energy relative to the elements, uncorrected = 1.259 eV/f.u.; volume = 25.45 A^3/atom; spin magnetization = 0.24 μB per formula unit
1.0
5.320 0.000 0.000
0.000 5.320 0.000
0.000 0.000 4.497
Y Au Tc Br
2 1 1 1
Direct
0.000 0.500 0.000
0.500 0.000 0.000
0.500 0.500 0.500
0.000 0.000 0.500
0.000 0.000 0.000


6.
YTc2AuBr (PBE, relaxed); density of states at the Fermi level = 4.44 states/eV per cell; energy relative to the elements, uncorrected = 4.533 eV/f.u.; volume = 21.86 A^3/atom; spin magnetization = 1.52 μB per formula unit
1.0
4.590 0.000 0.000
0.000 5.189 0.000
0.000 0.000 4.590
Y Au Tc Br
1 1 2 1
Direct
0.000 0.500 0.000
0.500 0.500 0.500
0.000 0.000 0.500
0.500 0.000 0.000
0.000 0.000 0.000


7.
Te2AuBr (PBE, relaxed); density of states at the Fermi level = 0.73 states/eV per cell; energy relative to the elements, uncorrected = 0.092 eV/f.u.; volume = 29.50 A^3/atom; spin magnetization = 0.00 μB per formula unit
1.0
6.515 0.000 0.000
0.000 11.110 0.000
0.000 0.000 6.522
Te Au Br
8 4 4
Direct
0.349 0.087 0.860
0.651 0.913 0.360
0.151 0.587 0.360
0.849 0.413 0.860
0.902 0.857 0.696
0.098 0.143 0.196
0.598 0.357 0.196
0.402 0.643 0.696
0.200 0.390 0.076
0.800 0.610 0.576
0.300 0.890 0.576
0.700 0.110 0.076
0.160 0.824 0.118
0.840 0.176 0.618
0.340 0.324 0.618
0.660 0.676 0.118


8.
Te2AuBr (PBE, relaxed); density of states at the Fermi level = 1.75 states/eV per cell; energy relative to the elements, uncorrected = -0.064 eV/f.u.; volume = 29.72 A^3/atom; spin magnetization = 0.00 μB per formula unit
1.0
7.391 0.000 0.000
0.000 4.143 0.000
0.000 0.000 15.527
Te Au Br
8 4 4
Direct
0.659 0.250 0.406
0.841 0.750 0.906
0.341 0.750 0.594
0.159 0.250 0.094
0.665 0.250 0.590
0.835 0.750 0.090
0.335 0.750 0.410
0.165 0.250 0.910
0.122 0.250 0.487
0.378 0.750 0.987
0.878 0.750 0.513
0.622 0.250 0.013
0.058 0.250 0.272
0.442 0.750 0.772
0.942 0.750 0.728
0.558 0.250 0.228


9.
Te2AuBr (PBE, relaxed); density of states at the Fermi level = 4.86 states/eV per cell; energy relative to the elements, uncorrected = 0.172 eV/f.u.; volume = 29.94 A^3/atom; spin magnetization = 0.00 μB per formula unit
1.0
8.296 0.000 0.526
2.678 6.778 -1.960
-2.678 6.778 1.960
Te Au Br
4 2 2
Direct
0.127 0.218 0.090
0.373 0.590 0.718
0.873 0.782 0.910
0.627 0.410 0.282
0.750 0.297 0.797
0.250 0.703 0.203
0.750 0.842 0.342
0.250 0.158 0.658


10.
Te2AuBr2 (PBE, relaxed); density of states at the Fermi level = 4.78 states/eV per cell; energy relative to the elements, uncorrected = -0.377 eV/f.u.; volume = 31.30 A^3/atom; offset from the most stable computed form = 104 meV per atom; spin magnetization = 0.00 μB per formula unit
1.0
7.460 0.000 0.000
0.000 7.460 0.000
0.000 0.000 5.625
Te Au Br
4 2 4
Direct
0.339 0.839 0.000
0.839 0.661 0.000
0.661 0.161 0.000
0.161 0.339 0.000
0.000 0.000 0.000
0.500 0.500 0.000
0.326 0.826 0.500
0.826 0.674 0.500
0.674 0.174 0.500
0.174 0.326 0.500


11.
Te2AuBr (PBE, relaxed); density of states at the Fermi level = 2.10 states/eV per cell; energy relative to the elements, uncorrected = 1.445 eV/f.u.; volume = 25.37 A^3/atom; spin magnetization = 0.00 μB per formula unit
1.0
-3.197 -4.085 -0.718
0.745 -1.461 4.973
-1.658 4.847 -1.086
Te Au Br
2 1 1
Direct
0.000 0.000 0.000
0.250 0.750 0.500
0.500 0.500 0.000
0.750 0.250 0.500


12.
TeAuBr2 (PBE, relaxed); density of states at the Fermi level = 2.95 states/eV per cell; energy relative to the elements, uncorrected = -0.240 eV/f.u.; volume = 32.73 A^3/atom; spin magnetization = 0.00 μB per formula unit
1.0
-3.118 -1.880 2.025
3.627 1.121 1.716
-3.554 8.210 2.148
Te Au Br
1 1 2
Direct
0.000 0.000 0.537
0.500 0.500 0.739
0.000 0.000 0.929
0.500 0.500 0.295


13.
Te2AuBr (PBE, relaxed); density of states at the Fermi level = 1.73 states/eV per cell; energy relative to the elements, uncorrected = -0.678 eV/f.u.; volume = 32.02 A^3/atom; spin magnetization = 0.00 μB per formula unit
1.0
4.125 0.017 -0.024
-2.095 7.301 -0.124
0.072 -4.177 8.572
Te Au Br
4 2 2
Direct
0.530 0.613 0.457
0.255 0.063 0.246
0.531 0.614 0.781
0.256 0.064 0.570
0.894 0.340 0.352
0.893 0.337 0.676
0.543 0.637 0.081
0.243 0.040 0.946